The following is a DFT calculation (GGA-PBE) of crystalline NdGd2Zr at its relaxed geometry.

The formation energy from the elements is 0.079 eV/atom. The calculation puts the total magnetization at 3.58 μB/atom. The value obtained for the density of states at the Fermi level is 1.4426 states/eV per atom.

a b c (Å): 3.451 3.451 10.131
angles (deg): 90.00 90.00 90.00
Element x y z (fractional)
Gd (0.000, 0.000, 0.727)
Gd (0.000, 0.000, 0.273)
Zr (0.500, 0.500, 0.500)
Nd (0.500, 0.500, 0.000)